(1)
Nd2Dy3HoTe6: optimized geometry, PBE-GGA.

It has space group C2/m (No. 12), with a = 19.2116 Å, b = 4.3666 Å, c = 8.8577 Å, α = 90.00°, β = 103.39° and γ = 90.00°. The inequivalent atoms are Nd at (0.1702, 0.0000, 0.3371), Dy at (0.0000, 0.5000, 0.5000), Dy at (0.1727, 0.0000, 0.8349), Ho at (0.0000, 0.5000, 0.0000), Te at (0.0037, 0.0000, 0.7533), Te at (0.1621, 0.5000, 0.5897) and Te at (0.1632, 0.5000, 0.0736).

As for the uncorrected formation energy: -1.323 eV/atom. Its electronic total energy is -5.22 eV/atom.

(2)
Sc2HgBr: optimized geometry, PBE-GGA.

It has space group Immm (No. 71), with a = 3.9944 Å, b = 5.7244 Å, c = 8.0468 Å, α = 90.00°, β = 90.00° and γ = 90.00°. The inequivalent atoms are Sc at (0.0000, 0.0000, 0.2312), Hg at (0.0000, 0.5000, 0.0000) and Br at (0.0000, 0.5000, 0.5000).

As for the uncorrected formation energy: -0.395 eV/atom. Its electronic total energy is -4.05 eV/atom.

(3)
In3Pt11: optimized geometry, PBE-GGA.

It has space group Immm (No. 71), with a = 4.5431 Å, b = 10.1780 Å, c = 10.6670 Å, α = 90.00°, β = 90.00° and γ = 90.00°. The inequivalent atoms are In at (0.0000, 0.0000, 0.0000), In at (0.0000, 0.0000, 0.2820), Pt at (0.0000, 0.1447, 0.5000), Pt at (0.0000, 0.2661, 0.1278), Pt at (0.0000, 0.3719, 0.3594) and Pt at (0.0000, 0.5000, 0.0000).

Its electronic total energy is -5.44 eV/atom.

(4)
KTe2PdS: optimized geometry, PBE-GGA.

It has space group P4/mmm (No. 123), with a = 6.0354 Å, b = 6.0354 Å, c = 4.9714 Å, α = 90.00°, β = 90.00° and γ = 90.00°. The inequivalent atoms are K at (0.0000, 0.0000, 0.0000), Te at (0.0000, 0.5000, 0.0000), Pd at (0.0000, 0.0000, 0.5000) and S at (0.5000, 0.5000, 0.5000).

As for the uncorrected formation energy: 1.365 eV/atom. Its electronic total energy is -1.98 eV/atom.

(5)
TbCe2Nd: optimized geometry, PBE-GGA.

It has space group Fm-3m (No. 225), with a = 8.0552 Å, b = 8.0552 Å, c = 8.0552 Å, α = 90.00°, β = 90.00° and γ = 90.00°. The inequivalent atoms are Tb at (0.0000, 0.0000, 0.0000), Ce at (0.2500, 0.2500, 0.2500) and Nd at (0.0000, 0.0000, 0.5000).

Its electronic total energy is -5.05 eV/atom.

(6)
OsRu2W: optimized geometry, PBE-GGA.

It has space group R-3m (No. 166, hexagonal axes), with a = 2.7444 Å, b = 2.7444 Å, c = 26.9251 Å, α = 90.00°, β = 90.00° and γ = 120.00°. The inequivalent atoms are Os at (0.0000, 0.0000, 0.0000), Ru at (0.0000, 0.0000, 0.2515) and W at (0.0000, 0.0000, 0.5000).

Its electronic total energy is -10.54 eV/atom.

Number 1: theoretical density 7.84 g/cm³. Number 2: theoretical density 6.69 g/cm³. Number 3: theoretical density 16.77 g/cm³. Number 4: theoretical density 3.97 g/cm³. Number 5: theoretical density 7.41 g/cm³. Number 6: theoretical density 16.34 g/cm³.